[1]
The following is a PBE calculation of a relaxed structure of NbSnI6, from the Alexandria database.

The formation energy (no corrections) is -0.431 eV/atom. The value obtained for the magnetization is 1.00 μB/f.u.

It has space group C2/m (No. 12), with a = 7.681 Å, b = 13.134 Å, c = 7.731 Å, α = 90.00°, β = 93.26° and γ = 90.00°. The distinct sites, in fractional coordinates, are Nb at (0.000, 0.000, 0.000), Sn at (0.000, 0.000, 0.500), I at (0.149, 0.150, 0.224) and I at (0.203, 0.500, 0.199).


[2]
The following is a PBE calculation of a relaxed structure of TaCr2Ru2, from the Alexandria database.

The relative energy among the computed polymorphs is 172 meV/atom. For the formation energy, the calculation gives 264.4 meV/atom. The value obtained for the magnetization is 0.00 μB/f.u.

It has space group I4/mmm (No. 139), with a = 3.908 Å, b = 3.908 Å, c = 9.767 Å, α = 90.00°, β = 90.00° and γ = 90.00°. The distinct sites, in fractional coordinates, are Ta at (0.000, 0.000, 0.000), Cr at (0.000, 0.000, 0.395) and Ru at (0.000, 0.500, 0.250).


[3]
The following is a PBE calculation of a relaxed structure of AcPr3Zn2, from the Alexandria database.

For the formation energy, the calculation gives -199.9 meV/atom. The value obtained for the magnetization is 0.00 μB/f.u.

It has space group P4/mmm (No. 123), with a = 3.765 Å, b = 3.765 Å, c = 12.841 Å, α = 90.00°, β = 90.00° and γ = 90.00°. The distinct sites, in fractional coordinates, are Ac at (0.000, 0.000, 0.000), Pr at (0.500, 0.500, 0.219), Pr at (0.500, 0.500, 0.500) and Zn at (0.000, 0.000, 0.358).